Entry 1:
## K2NpSc2S6 (PBE)

Data for K2NpSc2S6 after structural relaxation.

Cell and atoms, written as POSCAR:
```
K2NpSc2S6
1.0
-3.132 -5.584 1.908
1.303 1.088 -6.461
7.245 -1.944 2.289
K Np Sc S
2 1 2 6
Direct
0.833 0.167 0.000
0.167 0.833 0.000
0.000 0.000 0.500
0.333 0.667 0.500
0.667 0.333 0.500
0.723 0.723 0.690
0.062 0.404 0.690
0.277 0.277 0.310
0.404 0.062 0.690
0.938 0.596 0.310
0.596 0.938 0.310
```

Output
- Raw formation energy: -18.1 eV per formula unit

***

Entry 2:
## KNpSc4S8 (PBE)

Data for KNpSc4S8 after structural relaxation.

Cell and atoms, written as POSCAR:
```
KNpSc4S8
1.0
7.801 0.000 0.000
3.901 6.756 0.000
3.901 2.252 6.623
K Np Sc S
1 1 4 8
Direct
0.369 0.369 0.894
0.003 0.003 0.991
0.627 0.627 0.120
0.005 0.486 0.504
0.486 0.005 0.504
0.005 0.005 0.504
0.241 0.803 0.715
0.803 0.241 0.715
0.241 0.241 0.715
0.230 0.230 0.311
0.750 0.235 0.266
0.235 0.750 0.266
0.750 0.750 0.266
0.757 0.757 0.730
```

Output
- Raw formation energy: -22.9 eV per formula unit

***

Entry 3:
## K2Np2ScS6 (PBE)

Data for K2Np2ScS6 after structural relaxation.

Cell and atoms, written as POSCAR:
```
K2Np2ScS6
1.0
6.825 -0.011 0.071
-3.382 5.927 0.071
-1.214 -2.086 7.456
K Np Sc S
2 2 1 6
Direct
0.833 0.167 0.000
0.167 0.833 0.000
0.334 0.666 0.500
0.666 0.334 0.500
0.000 0.000 0.500
0.743 0.743 0.691
0.062 0.388 0.692
0.257 0.257 0.309
0.388 0.062 0.692
0.938 0.612 0.308
0.612 0.938 0.308
```

Output
- Raw formation energy: -16.8 eV per formula unit

***

Entry 4:
## K4NpSc3S8 (PBE)

Data for K4NpSc3S8 after structural relaxation.

Cell and atoms, written as POSCAR:
```
K4NpSc3S8
1.0
7.814 0.000 0.000
0.000 8.582 0.536
-3.907 -3.904 5.528
K Np Sc S
4 1 3 8
Direct
0.500 0.000 0.000
0.500 0.000 0.500
0.000 0.000 0.000
0.000 0.000 0.500
0.000 0.500 0.000
0.500 0.500 0.000
0.500 0.500 0.500
0.000 0.500 0.500
0.238 0.696 0.958
0.238 0.696 0.476
0.269 0.308 0.539
0.720 0.696 0.958
0.280 0.304 0.042
0.731 0.692 0.461
0.762 0.304 0.524
0.762 0.304 0.042
```

Output
- Raw formation energy: -26.4 eV per formula unit

***

Entry 5:
## K3Np2ScS6 (PBE)

Data for K3Np2ScS6 after structural relaxation.

Cell and atoms, written as POSCAR:
```
K3Np2ScS6
1.0
6.944 -0.001 0.000
-3.471 6.014 0.000
-1.158 -2.005 7.350
K Np Sc S
3 2 1 6
Direct
0.167 0.833 0.500
0.833 0.167 0.500
0.500 0.500 0.500
0.333 0.667 0.000
0.667 0.333 0.000
0.000 0.000 0.000
0.934 0.612 0.802
0.744 0.744 0.198
0.066 0.388 0.198
0.612 0.934 0.802
0.256 0.256 0.802
0.388 0.066 0.198
```

Output
- Raw formation energy: -18.0 eV per formula unit

***

Entry 6:
## K3NpSc3S8 (PBE)

Data for K3NpSc3S8 after structural relaxation.

Cell and atoms, written as POSCAR:
```
K3NpSc3S8
1.0
-0.982 6.707 -3.632
-4.511 -1.849 5.947
8.150 2.222 1.899
K Np Sc S
3 1 3 8
Direct
0.000 0.000 0.000
0.000 0.500 0.000
0.500 0.500 0.000
0.000 0.000 0.500
0.500 0.000 0.500
0.500 0.500 0.500
0.000 0.500 0.500
0.270 0.540 0.310
0.730 0.460 0.690
0.765 0.530 0.308
0.235 0.470 0.692
0.765 0.043 0.308
0.235 0.957 0.692
0.278 0.043 0.308
0.722 0.957 0.692
```

Output
- Raw formation energy: -25.0 eV per formula unit

***

Entry 7:
## KNpSe3S (PBE)

Data for KNpSe3S after structural relaxation.

Cell and atoms, written as POSCAR:
```
KNpSe3S
1.0
4.055 0.000 0.000
0.000 8.485 0.262
0.000 -3.827 9.838
K Np Se S
2 2 6 2
Direct
0.250 0.241 0.309
0.750 0.759 0.691
0.250 0.678 0.178
0.750 0.322 0.822
0.750 0.901 0.106
0.250 0.099 0.894
0.250 0.656 0.422
0.750 0.344 0.578
0.750 0.430 0.118
0.250 0.570 0.882
0.250 0.119 0.688
0.750 0.881 0.312
```

Output
- Raw formation energy: -5.3 eV per formula unit

***

Entry 8:
## K4Sm3NpS8 (PBE)

Data for K4Sm3NpS8 after structural relaxation.

Cell and atoms, written as POSCAR:
```
K4Sm3NpS8
1.0
-4.958 5.989 -2.846
-5.766 -1.730 6.406
7.802 1.755 2.145
K Sm Np S
4 3 1 8
Direct
0.500 0.000 0.000
0.500 0.000 0.500
0.000 0.000 0.000
0.000 0.000 0.500
0.500 0.500 0.000
0.500 0.500 0.500
0.000 0.500 0.500
0.000 0.500 0.000
0.234 0.704 0.970
0.234 0.704 0.467
0.265 0.294 0.529
0.737 0.704 0.970
0.263 0.296 0.030
0.735 0.706 0.471
0.766 0.296 0.533
0.766 0.296 0.030
```

Output
- Raw formation energy: -27.8 eV per formula unit